[1]
## Rb2TlCuF6 (PBE)

Data for a relaxed Rb2TlCuF6 crystal.

Geometry as POSCAR:
```
Rb2TlCuF6
1.0
6.011 0.000 0.000
-0.001 6.015 0.000
-0.001 -0.003 8.508
Tl F Rb Cu
2 12 4 2
direct
0.450 0.550 0.000
0.950 0.050 0.500
0.188 0.283 0.001
0.219 0.790 0.500
0.949 0.050 0.236
0.209 0.319 0.499
0.183 0.812 0.000
0.451 0.550 0.264
0.681 0.309 0.500
0.951 0.050 0.764
0.691 0.780 0.501
0.449 0.549 0.736
0.712 0.817 0.999
0.717 0.288 0.000
0.450 0.050 0.750
0.450 0.050 0.250
0.950 0.550 0.750
0.950 0.550 0.250
0.450 0.550 0.500
0.950 0.050 0.000
```

* ΔE to the lowest computed polymorph: 19 meV per atom
* density: 5.968 g/cm3

---

[2]
## NbI2BrCl2 (PBE)

Data for a relaxed NbI2BrCl2 crystal.

Geometry as POSCAR:
```
NbI2BrCl2
1.0
-5.125 4.657 -0.053
1.199 -3.280 -6.672
-5.296 -6.312 5.898
Cl Nb Br I
4 2 2 4
direct
0.722 0.988 0.767
0.208 0.154 0.958
0.278 0.012 0.233
0.792 0.846 0.042
0.098 0.206 0.204
0.902 0.794 0.796
0.878 0.363 0.132
0.122 0.637 0.868
0.448 0.568 0.319
0.081 0.815 0.570
0.919 0.185 0.430
0.552 0.432 0.681
```

* ΔE to the lowest computed polymorph: 5 meV per atom
* density: 3.689 g/cm3

---

[3]
## SrCoAuSe3 (PBE)

Data for a relaxed SrCoAuSe3 crystal.

Geometry as POSCAR:
```
SrCoAuSe3
1.0
1.899 -7.293 0.000
1.899 7.293 0.000
0.000 0.000 10.297
Sr Au Se Co
2 2 6 2
direct
0.211 0.789 0.750
0.789 0.211 0.250
0.879 0.121 0.750
0.121 0.879 0.250
0.106 0.894 0.487
0.545 0.455 0.750
0.894 0.106 0.513
0.106 0.894 0.013
0.894 0.106 0.987
0.455 0.545 0.250
0.500 0.500 0.000
0.500 0.500 0.500
```

* E_tot: -51.45 eV/cell
* density: 6.757 g/cm3